(one)
This record from OQMD via LeMat-Bulk describes an optimized crystal structure of LiYGaFe. The functional is GGA-PBE. Values from VASP.

Computed properties:
Space-group type   F-43m, No. 216
Density   5.59 g/cm3

Structure (Quantum ESPRESSO input):
```
&SYSTEM
  ibrav = 0, nat = 4, ntyp = 4
/
ATOMIC_SPECIES
Ga 69.72 Ga.upf
Li 6.94 Li.upf
Fe 55.84 Fe.upf
Y 88.91 Y.upf
CELL_PARAMETERS angstrom
0.9425 -1.5924 4.1358
-2.6365 1.1151 3.5120
-2.6880 -3.1168 1.8943
ATOMIC_POSITIONS crystal
Ga 0.0000 0.0000 0.0000
Li 0.2500 0.2500 0.2500
Fe 0.7500 0.7500 0.7500
Y 0.5000 0.5000 0.5000
```

=====

(two)
This record from OQMD via LeMat-Bulk describes an optimized crystal structure of LiYGaFe. The functional is GGA-PBE. Values from VASP.

Computed properties:
Space-group type   F-43m, No. 216
Density   5.22 g/cm3

Structure (Quantum ESPRESSO input):
```
&SYSTEM
  ibrav = 0, nat = 4, ntyp = 4
/
ATOMIC_SPECIES
Y 88.91 Y.upf
Fe 55.84 Fe.upf
Li 6.94 Li.upf
Ga 69.72 Ga.upf
CELL_PARAMETERS angstrom
0.0000 3.2778 3.2778
3.2778 0.0000 3.2778
3.2778 3.2778 0.0000
ATOMIC_POSITIONS crystal
Y 0.2500 0.2500 0.2500
Fe 0.7500 0.7500 0.7500
Li 0.5000 0.5000 0.5000
Ga 0.0000 0.0000 0.0000
```

=====

Stability, lowest: (one)

=====

(one)
This record from OQMD via LeMat-Bulk describes an optimized crystal structure of LuMgGaFe. The functional is GGA-PBE. Values from VASP.

Computed properties:
Space-group type   F-43m, No. 216
Density   7.54 g/cm3

Structure (Quantum ESPRESSO input):
```
&SYSTEM
  ibrav = 0, nat = 4, ntyp = 4
/
ATOMIC_SPECIES
Ga 69.72 Ga.upf
Lu 174.97 Lu.upf
Fe 55.84 Fe.upf
Mg 24.30 Mg.upf
CELL_PARAMETERS angstrom
-2.5595 -3.4612 1.7858
-0.8027 -0.1772 4.5874
-4.2688 0.8725 1.6541
ATOMIC_POSITIONS crystal
Ga 0.0000 0.0000 0.0000
Lu 0.2500 0.2500 0.2500
Fe 0.7500 0.7500 0.7500
Mg 0.5000 0.5000 0.5000
```

=====

(two)
This record from OQMD via LeMat-Bulk describes an optimized crystal structure of LuMgGaFe. The functional is GGA-PBE. Values from VASP.

Computed properties:
Space-group type   F-43m, No. 216
Density   7.71 g/cm3

Structure (Quantum ESPRESSO input):
```
&SYSTEM
  ibrav = 0, nat = 4, ntyp = 4
/
ATOMIC_SPECIES
Ga 69.72 Ga.upf
Mg 24.30 Mg.upf
Fe 55.84 Fe.upf
Lu 174.97 Lu.upf
CELL_PARAMETERS angstrom
-0.1183 -3.8418 2.5730
-3.0595 -3.3334 -0.9604
1.4411 -4.0195 -1.7779
ATOMIC_POSITIONS crystal
Ga 0.0000 0.0000 0.0000
Mg 0.2500 0.2500 0.2500
Fe 0.7500 0.7500 0.7500
Lu 0.5000 0.5000 0.5000
```

=====

Stability, lowest: (two)

=====

(one)
This record from OQMD via LeMat-Bulk describes an optimized crystal structure of LuGaFeMo. The functional is GGA-PBE. Values from VASP.

Computed properties:
Space-group type   F-43m, No. 216
Density   10.03 g/cm3

Structure (Quantum ESPRESSO input):
```
&SYSTEM
  ibrav = 0, nat = 4, ntyp = 4
/
ATOMIC_SPECIES
Ga 69.72 Ga.upf
Lu 174.97 Lu.upf
Fe 55.84 Fe.upf
Mo 95.94 Mo.upf
CELL_PARAMETERS angstrom
0.0000 3.2013 3.2013
3.2013 0.0000 3.2013
3.2013 3.2013 0.0000
ATOMIC_POSITIONS crystal
Ga 0.0000 0.0000 0.0000
Lu 0.5000 0.5000 0.5000
Fe 0.7500 0.7500 0.7500
Mo 0.2500 0.2500 0.2500
```

=====

(two)
This record from OQMD via LeMat-Bulk describes an optimized crystal structure of LuGaFeMo. The functional is GGA-PBE. Values from VASP.

Computed properties:
Space-group type   F-43m, No. 216
Density   10.06 g/cm3

Structure (Quantum ESPRESSO input):
```
&SYSTEM
  ibrav = 0, nat = 4, ntyp = 4
/
ATOMIC_SPECIES
Lu 174.97 Lu.upf
Fe 55.84 Fe.upf
Ga 69.72 Ga.upf
Mo 95.94 Mo.upf
CELL_PARAMETERS angstrom
-3.5882 -1.1277 -2.5129
-3.2913 3.0170 -0.7255
-0.5425 1.8110 -4.1094
ATOMIC_POSITIONS crystal
Lu 0.2500 0.2500 0.2500
Fe 0.7500 0.7500 0.7500
Ga 0.0000 0.0000 0.0000
Mo 0.5000 0.5000 0.5000
```

=====

Stability, lowest: (two)

=====

(one)
This record from OQMD via LeMat-Bulk describes an optimized crystal structure of LuGaFePd. The functional is GGA-PBE. Values from VASP.

Computed properties:
Space-group type   F-43m, No. 216
Density   10.31 g/cm3

Structure (Quantum ESPRESSO input):
```
&SYSTEM
  ibrav = 0, nat = 4, ntyp = 4
/
ATOMIC_SPECIES
Lu 174.97 Lu.upf
Fe 55.84 Fe.upf
Ga 69.72 Ga.upf
Pd 106.42 Pd.upf
CELL_PARAMETERS angstrom
-2.7555 -3.2154 -1.5985
-4.4853 0.4622 0.3938
-2.5235 0.8018 -3.6710
ATOMIC_POSITIONS crystal
Lu 0.5000 0.5000 0.5000
Fe 0.7500 0.7500 0.7500
Ga 0.0000 0.0000 0.0000
Pd 0.2500 0.2500 0.2500
```

=====

(two)
This record from OQMD via LeMat-Bulk describes an optimized crystal structure of LuGaFePd. The functional is GGA-PBE. Values from VASP.

Computed properties:
Space-group type   F-43m, No. 216
Density   9.77 g/cm3

Structure (Quantum ESPRESSO input):
```
&SYSTEM
  ibrav = 0, nat = 4, ntyp = 4
/
ATOMIC_SPECIES
Ga 69.72 Ga.upf
Fe 55.84 Fe.upf
Pd 106.42 Pd.upf
Lu 174.97 Lu.upf
CELL_PARAMETERS angstrom
2.7695 -0.6059 3.6320
-0.7707 2.3308 3.8990
-1.5495 -2.2074 3.7357
ATOMIC_POSITIONS crystal
Ga 0.0000 0.0000 0.0000
Fe 0.7500 0.7500 0.7500
Pd 0.5000 0.5000 0.5000
Lu 0.2500 0.2500 0.2500
```

=====

Stability, lowest: (two)

=====

(one)
This record from OQMD via LeMat-Bulk describes an optimized crystal structure of LuGaFeTc. The functional is GGA-PBE. Values from VASP.

Computed properties:
Space-group type   F-43m, No. 216
Density   10.40 g/cm3

Structure (Quantum ESPRESSO input):
```
&SYSTEM
  ibrav = 0, nat = 4, ntyp = 4
/
ATOMIC_SPECIES
Fe 55.84 Fe.upf
Tc 98.00 Tc.upf
Lu 174.97 Lu.upf
Ga 69.72 Ga.upf
CELL_PARAMETERS angstrom
-0.2775 -4.4007 -0.7962
-0.6144 -2.8569 3.3966
-3.9211 -2.1180 0.4647
ATOMIC_POSITIONS crystal
Fe 0.7500 0.7500 0.7500
Tc 0.2500 0.2500 0.2500
Lu 0.5000 0.5000 0.5000
Ga 0.0000 0.0000 0.0000
```

=====

(two)
This record from OQMD via LeMat-Bulk describes an optimized crystal structure of LuGaFeTc. The functional is GGA-PBE. Values from VASP.

Computed properties:
Space-group type   F-43m, No. 216
Density   10.03 g/cm3

Structure (Quantum ESPRESSO input):
```
&SYSTEM
  ibrav = 0, nat = 4, ntyp = 4
/
ATOMIC_SPECIES
Tc 98.00 Tc.upf
Lu 174.97 Lu.upf
Fe 55.84 Fe.upf
Ga 69.72 Ga.upf
CELL_PARAMETERS angstrom
0.0000 3.2073 3.2073
3.2073 0.0000 3.2073
3.2073 3.2073 0.0000
ATOMIC_POSITIONS crystal
Tc 0.5000 0.5000 0.5000
Lu 0.2500 0.2500 0.2500
Fe 0.7500 0.7500 0.7500
Ga 0.0000 0.0000 0.0000
```

=====

Stability, lowest: (two)

=====

(one)
This record from OQMD via LeMat-Bulk describes an optimized crystal structure of LuZnGaFe. The functional is GGA-PBE. Values from VASP.

Computed properties:
Space-group type   F-43m, No. 216
Density   9.13 g/cm3

Structure (Quantum ESPRESSO input):
```
&SYSTEM
  ibrav = 0, nat = 4, ntyp = 4
/
ATOMIC_SPECIES
Fe 55.84 Fe.upf
Zn 65.41 Zn.upf
Ga 69.72 Ga.upf
Lu 174.97 Lu.upf
CELL_PARAMETERS angstrom
0.0000 3.2163 3.2163
3.2163 0.0000 3.2163
3.2163 3.2163 0.0000
ATOMIC_POSITIONS crystal
Fe 0.7500 0.7500 0.7500
Zn 0.5000 0.5000 0.5000
Ga 0.0000 0.0000 0.0000
Lu 0.2500 0.2500 0.2500
```

=====

(two)
This record from OQMD via LeMat-Bulk describes an optimized crystal structure of LuZnGaFe. The functional is GGA-PBE. Values from VASP.

Computed properties:
Space-group type   F-43m, No. 216
Density   9.20 g/cm3

Structure (Quantum ESPRESSO input):
```
&SYSTEM
  ibrav = 0, nat = 4, ntyp = 4
/
ATOMIC_SPECIES
Lu 174.97 Lu.upf
Fe 55.84 Fe.upf
Ga 69.72 Ga.upf
Zn 65.41 Zn.upf
CELL_PARAMETERS angstrom
0.0000 3.2089 3.2089
3.2089 0.0000 3.2089
3.2089 3.2089 0.0000
ATOMIC_POSITIONS crystal
Lu 0.5000 0.5000 0.5000
Fe 0.7500 0.7500 0.7500
Ga 0.0000 0.0000 0.0000
Zn 0.2500 0.2500 0.2500
```

=====

Stability, lowest: (two)

=====

(one)
This record from OQMD via LeMat-Bulk describes an optimized crystal structure of MgTaGaFe. The functional is GGA-PBE. Values from VASP.

Computed properties:
Space-group type   F-43m, No. 216
Density   9.04 g/cm3

Structure (Quantum ESPRESSO input):
```
&SYSTEM
  ibrav = 0, nat = 4, ntyp = 4
/
ATOMIC_SPECIES
Ta 180.95 Ta.upf
Mg 24.30 Mg.upf
Fe 55.84 Fe.upf
Ga 69.72 Ga.upf
CELL_PARAMETERS angstrom
0.0000 3.1206 3.1206
3.1206 0.0000 3.1206
3.1206 3.1206 0.0000
ATOMIC_POSITIONS crystal
Ta 0.2500 0.2500 0.2500
Mg 0.7500 0.7500 0.7500
Fe 0.5000 0.5000 0.5000
Ga 0.0000 0.0000 0.0000
```

=====

(two)
This record from OQMD via LeMat-Bulk describes an optimized crystal structure of MgTaGaFe. The functional is GGA-PBE. Values from VASP.

Computed properties:
Space-group type   F-43m, No. 216
Density   8.78 g/cm3

Structure (Quantum ESPRESSO input):
```
&SYSTEM
  ibrav = 0, nat = 4, ntyp = 4
/
ATOMIC_SPECIES
Ta 180.95 Ta.upf
Fe 55.84 Fe.upf
Ga 69.72 Ga.upf
Mg 24.30 Mg.upf
CELL_PARAMETERS angstrom
0.0000 3.1515 3.1515
3.1515 0.0000 3.1515
3.1515 3.1515 0.0000
ATOMIC_POSITIONS crystal
Ta 0.5000 0.5000 0.5000
Fe 0.0000 0.0000 0.0000
Ga 0.2500 0.2500 0.2500
Mg 0.7500 0.7500 0.7500
```

=====

Stability, lowest: (two)

=====

(one)
This record from OQMD via LeMat-Bulk describes an optimized crystal structure of NbGaFeNi. The functional is GGA-PBE. Values from VASP.

Computed properties:
Space-group type   F-43m, No. 216
Density   8.29 g/cm3

Structure (Quantum ESPRESSO input):
```
&SYSTEM
  ibrav = 0, nat = 4, ntyp = 4
/
ATOMIC_SPECIES
Nb 92.91 Nb.upf
Ga 69.72 Ga.upf
Ni 58.69 Ni.upf
Fe 55.84 Fe.upf
CELL_PARAMETERS angstrom
0.0000 3.0281 3.0281
3.0281 0.0000 3.0281
3.0281 3.0281 0.0000
ATOMIC_POSITIONS crystal
Nb 0.2500 0.2500 0.2500
Ga 0.0000 0.0000 0.0000
Ni 0.5000 0.5000 0.5000
Fe 0.7500 0.7500 0.7500
```

=====

(two)
This record from OQMD via LeMat-Bulk describes an optimized crystal structure of NbGaFeNi. The functional is GGA-PBE. Values from VASP.

Computed properties:
Space-group type   F-43m, No. 216
Density   8.63 g/cm3

Structure (Quantum ESPRESSO input):
```
&SYSTEM
  ibrav = 0, nat = 4, ntyp = 4
/
ATOMIC_SPECIES
Nb 92.91 Nb.upf
Ni 58.69 Ni.upf
Fe 55.84 Fe.upf
Ga 69.72 Ga.upf
CELL_PARAMETERS angstrom
-1.5570 1.4228 3.6604
-2.4822 3.4181 0.0534
-4.1217 -0.3955 0.8384
ATOMIC_POSITIONS crystal
Nb 0.5000 0.5000 0.5000
Ni 0.2500 0.2500 0.2500
Fe 0.7500 0.7500 0.7500
Ga 0.0000 0.0000 0.0000
```

=====

Stability, lowest: (one)